The following is a DFT calculation (PBE-GGA) of a relaxed structure of CsPaTe2O8.

a b c (Å): 6.329 6.329 8.617
angles (deg): 90.00 90.00 120.00
Positions (direct):
Cs 0.000 0.000 0.000
Pa 0.000 0.000 0.500
Te 0.333 0.667 0.706
Te 0.667 0.333 0.294
O 0.157 0.313 0.655
O 0.157 0.843 0.655
O 0.313 0.157 0.345
O 0.333 0.667 0.917
O 0.667 0.333 0.083
O 0.687 0.843 0.655
O 0.843 0.157 0.345
O 0.843 0.687 0.345

Output
total magnetization: 0.000 μB per formula unit
DOS at the Fermi energy: 6.2 states/eV/f.u.
calculated density: 4.15 Mg/m³
formation energy without anion corrections: -1.69 eV/atom
space group: P-3m1 (164)